A plane-wave DFT calculation with PBE was carried out for an optimized crystal structure of Rb2ScTe3O12.

Computed properties:
- N(E_F): 9.348 states/eV/f.u.
- V: 283.1 Å³ per cell
- Crystal system: trigonal
- Formation energy (no corrections): -1.462 eV/atom

abc: 7.3829 7.3829 7.3829
angles: 59.77 59.77 59.77
Fractional positions:
Rb 0.6276 0.6276 0.6276
Rb 0.3724 0.3724 0.3724
Sc 0.0000 0.0000 0.0000
Te 0.5000 0.0000 0.0000
Te 0.0000 0.5000 0.0000
Te 0.0000 0.0000 0.5000
O 0.3210 0.3210 0.9231
O 0.9282 0.9282 0.3376
O 0.3376 0.9282 0.9282
O 0.9231 0.3210 0.3210
O 0.9282 0.3376 0.9282
O 0.3210 0.9231 0.3210
O 0.6790 0.6790 0.0769
O 0.0718 0.0718 0.6624
O 0.6624 0.0718 0.0718
O 0.0769 0.6790 0.6790
O 0.0718 0.6624 0.0718
O 0.6790 0.0769 0.6790

A plane-wave DFT calculation with PBE was carried out for an optimized crystal structure of RbScTi2O6.

Computed properties:
- N(E_F): 0.000 states/eV/f.u.
- V: 341.9 Å³ per cell
- Crystal system: monoclinic
- Formation energy (no corrections): -2.939 eV/atom

abc: 6.4515 7.6801 7.6801
angles: 104.72 76.93 76.93
Fractional positions:
Rb 0.2500 0.8956 0.1044
Rb 0.7500 0.1044 0.8956
Sc 0.2500 0.2085 0.7915
Sc 0.7500 0.7915 0.2085
Ti 0.3441 0.7145 0.5652
Ti 0.1559 0.4348 0.2855
Ti 0.6559 0.2855 0.4348
Ti 0.8441 0.5652 0.7145
O 0.2315 0.9459 0.7466
O 0.2685 0.2534 0.0541
O 0.7685 0.0541 0.2534
O 0.7315 0.7466 0.9459
O 0.4674 0.7795 0.3648
O 0.0326 0.6352 0.2205
O 0.5326 0.2205 0.6352
O 0.9674 0.3648 0.7795
O 0.0645 0.6496 0.5882
O 0.4355 0.4118 0.3504
O 0.9355 0.3504 0.4118
O 0.5645 0.5882 0.6496

A plane-wave DFT calculation with PBE was carried out for an optimized crystal structure of RbSc2Ti2O7.

Computed properties:
- N(E_F): 2.140 states/eV/f.u.
- V: 154.6 Å³ per cell
- Crystal system: orthorhombic
- Formation energy (no corrections): -2.952 eV/atom

abc: 4.1648 4.3638 9.0230
angles: 103.99 103.34 90.00
Fractional positions:
Rb 0.0000 0.0319 0.0000
Sc 0.2460 0.7318 0.4920
Sc 0.7540 0.2398 0.5080
Ti 0.3900 0.4435 0.7799
Ti 0.6100 0.6635 0.2201
O 0.3729 0.8330 0.7458
O 0.7345 0.7157 0.4690
O 0.1248 0.6210 0.2497
O 0.6271 0.0872 0.2542
O 0.2655 0.2467 0.5310
O 0.8752 0.3713 0.7503
O 0.5000 0.5144 0.0000

A plane-wave DFT calculation with PBE was carried out for an optimized crystal structure of Rb2ScTlO4.

Computed properties:
- N(E_F): 0.000 states/eV/f.u.
- V: 165.2 Å³ per cell
- Crystal system: tetragonal
- Formation energy (no corrections): -1.819 eV/atom

abc: 6.1941 6.1941 6.1429
angles: 120.30 120.30 89.96
Fractional positions:
Rb 0.4862 0.9862 0.9723
Rb 0.2361 0.2361 0.4723
Sc 0.9859 0.4859 0.9717
Tl 0.7359 0.7359 0.4718
O 0.7199 0.5985 0.7288
O 0.8729 0.4626 0.2141
O 0.3412 0.7516 0.2142
O 0.0089 0.1303 0.7289

A plane-wave DFT calculation with PBE was carried out for an optimized crystal structure of Rb2TmScO4.

Computed properties:
- N(E_F): 0.000 states/eV/f.u.
- V: 251.1 Å³ per cell
- Crystal system: orthorhombic
- Formation energy (no corrections): -2.539 eV/atom

abc: 7.0802 7.0803 7.1569
angles: 120.36 120.36 89.91
Fractional positions:
Rb 0.5000 0.0000 0.0000
Rb 0.5000 0.0000 0.5000
Rb 0.0000 0.0000 0.5000
Rb 0.5000 0.5000 0.0000
Tm 0.0000 0.5000 0.0000
Tm 0.0000 0.5000 0.5000
Sc 0.5000 0.5000 0.5000
Sc 0.0000 0.0000 0.0000
O 0.1770 0.7337 0.9554
O 0.7662 0.3231 0.5446
O 0.2337 0.6769 0.4554
O 0.8230 0.2663 0.0446
O 0.7710 0.7289 0.9468
O 0.7711 0.7290 0.5532
O 0.2289 0.2710 0.4468
O 0.2290 0.2711 0.0532

A plane-wave DFT calculation with PBE was carried out for an optimized crystal structure of Rb3ScU2O9.

Computed properties:
- N(E_F): 0.000 states/eV/f.u.
- V: 234.2 Å³ per cell
- Crystal system: trigonal
- Formation energy (no corrections): -2.833 eV/atom

abc: 6.0428 6.0428 7.4053
angles: 90.00 90.00 120.00
Fractional positions:
Rb 0.3333 0.6667 0.6625
Rb 0.0000 0.0000 0.0000
Rb 0.6667 0.3333 0.3375
Sc 0.0000 0.0000 0.5000
U 0.3333 0.6667 0.1752
U 0.6667 0.3333 0.8248
O 0.8298 0.1702 0.6701
O 0.8298 0.6595 0.6701
O 0.3405 0.1702 0.6701
O 0.6595 0.8298 0.3299
O 0.1702 0.3405 0.3299
O 0.1702 0.8298 0.3299
O 0.5000 0.0000 0.0000
O 0.0000 0.5000 0.0000
O 0.5000 0.5000 0.0000

A plane-wave DFT calculation with PBE was carried out for an optimized crystal structure of RbScU2O8.

Computed properties:
- N(E_F): 0.000 states/eV/f.u.
- V: 188.0 Å³ per cell
- Crystal system: triclinic
- Formation energy (no corrections): -2.922 eV/atom

abc: 5.1300 5.1331 7.1568
angles: 88.81 88.79 86.19
Fractional positions:
Rb 0.0000 0.0000 0.5000
Sc 0.0000 0.0000 0.0000
U 0.4929 0.4928 0.7572
U 0.5071 0.5072 0.2428
O 0.2185 0.7773 0.2036
O 0.6909 0.6895 0.0121
O 0.7756 0.2170 0.2038
O 0.7815 0.2227 0.7964
O 0.3091 0.3105 0.9879
O 0.2244 0.7830 0.7962
O 0.6584 0.6556 0.5260
O 0.3416 0.3444 0.4740